# Mg2FeBr

Crystalline Mg2FeBr at its relaxed geometry (PBE, Alexandria via LeMat-Bulk).

Computed properties:
Its energy is -2.910 eV per atom. As for the space-group type: Fm-3m, No. 225. The energy relative to the elements, uncorrected comes out at 0.422 eV/atom. The volume comes out at 83.4 Å³ per cell. For the density of states at the Fermi level, the calculation gives 1.1148 states/eV/atom.

abc: 4.905 4.905 4.905
angles: 60.00 60.00 60.00
Last column: magnetic moment on the atom in μB.
Atoms (fractional coordinates):
1 Fe 0.000 0.000 0.000  2.47
2 Mg 0.250 0.250 0.250  -0.04
3 Mg 0.750 0.750 0.750  -0.04
4 Br 0.500 0.500 0.500  -0.02